VASP calculation (PBE) on a relaxed structure of K3NdTm2Te6.

Cell lengths 7.8101, 7.8101, 8.6484 Å; angles 98.67, 98.67, 120.00 degrees
Sites, in units of the cell vectors:
K (0.1638, 0.8362, 0.5000)
K (0.8362, 0.1638, 0.5000)
K (0.5000, 0.5000, 0.5000)
Nd (0.0000, 0.0000, 0.0000)
Tm (0.3330, 0.6670, 0.0000)
Tm (0.6670, 0.3330, 0.0000)
Te (0.9303, 0.5867, 0.7911)
Te (0.7257, 0.7257, 0.2082)
Te (0.0697, 0.4133, 0.2089)
Te (0.5867, 0.9303, 0.7911)
Te (0.2743, 0.2743, 0.7918)
Te (0.4133, 0.0697, 0.2089)

Its space-group type is No. 12. For the calculated total energy, the calculation gives -4.37 eV per atom. Its spin magnetization is 0.00 μB per atom. The formation energy (no corrections) is -1384 meV per atom.

VASP calculation (PBE) on a relaxed structure of BaCa2Re.

Cell lengths 3.5543, 3.5543, 10.6256 Å; angles 90.00, 90.00, 90.00 degrees
Sites, in units of the cell vectors:
Re (0.5000, 0.5000, 0.2500)
Ca (0.0000, 0.0000, 0.0822)
Ca (0.0000, 0.0000, 0.4178)
Ba (0.5000, 0.5000, 0.7500)

Its space-group type is No. 123. For the calculated total energy, the calculation gives -3.88 eV per atom. The calculation puts the calculated formation energy at 0.713 eV per atom. Its spin magnetization is 0.55 μB per atom. The energy above the most stable polymorph in this dataset comes out at 0.0 meV per atom.

Q: What is the spin magnetization in the second record?
A: 0.55 μB per atom